No. 1
Crystalline NbIr3Pb at its relaxed geometry, computed with PBE-GGA.

The calculation puts the total moment at 0.00 μB per cell. As for the crystal system: cubic. The distance to the lowest polymorph of the same formula is 1.063 eV per atom.

Unit cell a=4.8744 b=4.8744 c=4.8744 alpha=90.00 beta=90.00 gamma=90.00
Element x y z (fractional)
Nb 0.0000 0.0000 0.0000
Ir 0.0000 0.5000 0.5000
Ir 0.5000 0.0000 0.5000
Ir 0.5000 0.5000 0.0000
Pb 0.5000 0.5000 0.5000


No. 2
Crystalline NbIr3Pb at its relaxed geometry, computed with PBE-GGA.

The calculation puts the total moment at 0.00 μB per cell. As for the crystal system: cubic. The distance to the lowest polymorph of the same formula is 0.000 eV per atom.

Unit cell a=4.8519 b=4.8519 c=4.8519 alpha=90.00 beta=90.00 gamma=90.00
Element x y z (fractional)
Nb 0.0000 0.0000 0.0000
Ir 0.0000 0.0000 0.5000
Ir 0.0000 0.5000 0.0000
Ir 0.5000 0.0000 0.0000
Pb 0.5000 0.5000 0.5000


No. 3
Crystalline NbIrPb2 at its relaxed geometry, computed with PBE-GGA.

The calculation puts the total moment at 1.71 μB per cell. As for the crystal system: cubic. The distance to the lowest polymorph of the same formula is 0.000 eV per atom.

Unit cell a=4.8825 b=4.8825 c=4.8825 alpha=60.00 beta=60.00 gamma=60.00
Element x y z (fractional)
Nb 0.0000 0.0000 0.0000
Ir 0.5000 0.5000 0.5000
Pb 0.2500 0.2500 0.2500
Pb 0.7500 0.7500 0.7500


No. 4
Crystalline Nb3IrPb at its relaxed geometry, computed with PBE-GGA.

The calculation puts the total moment at 0.00 μB per cell. As for the crystal system: cubic. The distance to the lowest polymorph of the same formula is 0.000 eV per atom.

Unit cell a=4.9051 b=4.9051 c=4.9051 alpha=90.00 beta=90.00 gamma=90.00
Element x y z (fractional)
Nb 0.0000 0.0000 0.5000
Nb 0.0000 0.5000 0.0000
Nb 0.5000 0.0000 0.0000
Ir 0.0000 0.0000 0.0000
Pb 0.5000 0.5000 0.5000


No. 5
Crystalline NbIr4Pb2 at its relaxed geometry, computed with PBE-GGA.

The calculation puts the total moment at 0.00 μB per cell. As for the crystal system: tetragonal. The value obtained for the calculated total energy is -6.40 eV per atom.

Unit cell a=7.6948 b=7.6948 c=7.6948 alpha=142.85 beta=142.85 gamma=53.55
Element x y z (fractional)
Nb 0.0000 0.0000 0.0000
Ir 0.0000 0.5000 0.5000
Ir 0.1739 0.1739 0.0000
Ir 0.5000 0.0000 0.5000
Ir 0.8261 0.8261 0.0000
Pb 0.3714 0.3714 0.0000
Pb 0.6286 0.6286 0.0000


No. 6
Crystalline NbSbIr2Pb at its relaxed geometry, computed with PBE-GGA.

The calculation puts the total moment at 0.00 μB per cell. As for the crystal system: tetragonal. The calculation puts the uncorrected formation energy at 1873 meV/atom.

Unit cell a=4.9491 b=4.9491 c=5.2233 alpha=90.00 beta=90.00 gamma=90.00
Element x y z (fractional)
Nb 0.0000 0.0000 0.0000
Sb 0.5000 0.5000 0.0000
Ir 0.0000 0.5000 0.5000
Ir 0.5000 0.0000 0.5000
Pb 0.0000 0.0000 0.5000


No. 7
Crystalline Nb2VIrPb at its relaxed geometry, computed with PBE-GGA.

The calculation puts the total moment at 0.00 μB per cell. As for the crystal system: tetragonal. The value obtained for the calculated total energy is -7.57 eV per atom.

Unit cell a=4.7032 b=4.7032 c=4.6328 alpha=90.00 beta=90.00 gamma=90.00
Element x y z (fractional)
Nb 0.0000 0.5000 0.0000
Nb 0.5000 0.0000 0.0000
V 0.0000 0.0000 0.0000
Ir 0.0000 0.0000 0.5000
Pb 0.5000 0.5000 0.5000


No. 8
Crystalline Nb14IrPd at its relaxed geometry, computed with PBE-GGA.

The calculation puts the total moment at 0.00 μB per cell. As for the crystal system: orthorhombic. The value obtained for the calculated total energy is -9.83 eV per atom.

Unit cell a=5.7319 b=5.7319 c=9.1792 alpha=90.00 beta=90.00 gamma=109.17
Element x y z (fractional)
Nb 0.0000 0.0000 0.0000
Nb 0.0000 0.5000 0.0000
Nb 0.0000 0.5000 0.5000
Nb 0.2490 0.7510 0.2551
Nb 0.2490 0.7510 0.7449
Nb 0.2545 0.2545 0.2552
Nb 0.2545 0.2545 0.7448
Nb 0.5000 0.0000 0.0000
Nb 0.5000 0.0000 0.5000
Nb 0.5000 0.5000 0.0000
Nb 0.7455 0.7455 0.2552
Nb 0.7455 0.7455 0.7448
Nb 0.7510 0.2490 0.2551
Nb 0.7510 0.2490 0.7449
Ir 0.5000 0.5000 0.5000
Pd 0.0000 0.0000 0.5000


No. 9
Crystalline Nb3Ir2Pd2 at its relaxed geometry, computed with PBE-GGA.

The calculation puts the total moment at 0.00 μB per cell. As for the crystal system: orthorhombic. The value obtained for the calculated total energy is -8.64 eV per atom.

Unit cell a=9.8928 b=9.8928 c=2.8324 alpha=90.00 beta=90.00 gamma=155.46
Element x y z (fractional)
Nb 0.0000 0.0000 0.0000
Nb 0.1568 0.8432 0.0000
Nb 0.8432 0.1568 0.0000
Ir 0.2904 0.7096 0.5000
Ir 0.7096 0.2904 0.5000
Pd 0.4296 0.5704 0.5000
Pd 0.5704 0.4296 0.5000


No. 10
Crystalline Nb2Ir2Pd at its relaxed geometry, computed with PBE-GGA.

The calculation puts the total moment at 0.00 μB per cell. As for the crystal system: orthorhombic. The distance to the lowest polymorph of the same formula is 0.108 eV per atom.

Unit cell a=4.9709 b=4.9709 c=4.9709 alpha=127.62 beta=112.67 gamma=90.23
Element x y z (fractional)
Nb 0.1940 0.1940 0.0000
Nb 0.8060 0.8060 0.0000
Ir 0.2256 0.5000 0.7256
Ir 0.7744 0.5000 0.2744
Pd 0.5000 0.0000 0.5000


No. 11
Crystalline NbIr3Pd at its relaxed geometry, computed with PBE-GGA.

The calculation puts the total moment at 0.00 μB per cell. As for the crystal system: cubic. The distance to the lowest polymorph of the same formula is 0.350 eV per atom.

Unit cell a=4.6594 b=4.6594 c=4.6594 alpha=90.00 beta=90.00 gamma=90.00
Element x y z (fractional)
Nb 0.0000 0.0000 0.0000
Ir 0.0000 0.5000 0.5000
Ir 0.5000 0.0000 0.5000
Ir 0.5000 0.5000 0.0000
Pd 0.5000 0.5000 0.5000


No. 12
Crystalline NbIr3Pd at its relaxed geometry, computed with PBE-GGA.

The calculation puts the total moment at 0.05 μB per cell. As for the crystal system: cubic. The distance to the lowest polymorph of the same formula is 0.000 eV per atom.

Unit cell a=4.7360 b=4.7360 c=4.7360 alpha=90.00 beta=90.00 gamma=90.00
Element x y z (fractional)
Nb 0.0000 0.0000 0.0000
Ir 0.0000 0.0000 0.5000
Ir 0.0000 0.5000 0.0000
Ir 0.5000 0.0000 0.0000
Pd 0.5000 0.5000 0.5000


For the records above, the corresponding calculated volume values read 23.16; 22.84; 20.58; 23.60; 23.59; 25.59; 20.50; 17.80; 16.44; 16.96; 20.23; 21.25 Å³ per atom.